A relaxed YTe4Rh crystal. Source: Alexandria, functional PBE-GGA.

## Properties
Energy relative to the elements, uncorrected   0.44 eV per atom

a = 8.7253 Å, b = 8.7253 Å, c = 8.7253 Å
α = 90.00°, β = 90.00°, γ = 90.00°
With the nearest neighbours (Å) after each atom.
Space group F-43m (No. 216)
Asymmetric unit:
Y1 0.0000 0.0000 0.0000  12 Te 3.62, 4 Rh 3.78
Te1 0.1241 0.1241 0.3759  6 Te 3.06-3.11
Rh1 0.2500 0.2500 0.7500  12 Te 3.61, 4 Y 3.78

A relaxed Y2TeRh crystal. Source: Alexandria, functional PBE-GGA.

## Properties
Energy relative to the elements, uncorrected   -0.24 eV per atom

a = 7.1707 Å, b = 7.1707 Å, c = 7.1707 Å
α = 90.00°, β = 90.00°, γ = 90.00°
With the nearest neighbours (Å) after each atom.
Space group F-43m (No. 216)
Asymmetric unit:
Y1 0.0000 0.0000 0.0000  4 Te 3.11, 4 Y 3.11
Y2 0.2500 0.2500 0.2500  4 Rh 3.11, 4 Y 3.11
Te1 0.2500 0.2500 0.7500  4 Rh 3.11, 4 Y 3.11
Rh1 0.0000 0.0000 0.5000  4 Te 3.11, 4 Y 3.11

A relaxed Y2TeRh crystal. Source: Alexandria, functional PBE-GGA.

## Properties
Energy relative to the elements, uncorrected   -1.02 eV per atom

a = 4.1429 Å, b = 4.1429 Å, c = 21.6932 Å
α = 90.00°, β = 90.00°, γ = 120.00°
With the nearest neighbours (Å) after each atom.
Space group R3m (No. 160, hexagonal axes)
Asymmetric unit:
Y1 0.0000 0.0000 0.0000  3 Rh 2.85
Y2 0.0000 0.0000 0.1946  3 Rh 2.80
Te1 0.0000 0.0000 0.4315  6 Y 3.18-3.20, 1 Rh 3.55
Rh1 0.0000 0.0000 0.5953  6 Y 2.80-2.85

A relaxed Y7Te2Rh2 crystal. Source: Alexandria, functional PBE-GGA.

## Properties
Energy relative to the elements, uncorrected   -0.88 eV per atom

a = 3.9465 Å, b = 15.8492 Å, c = 9.5418 Å
α = 90.00°, β = 90.00°, γ = 90.00°
With the nearest neighbours (Å) after each atom.
Space group Imm2 (No. 44)
Asymmetric unit:
Y1 0.0000 0.0000 0.0000  3 Te 3.19-3.21
Y2 0.0000 0.1300 0.4165  2 Rh 2.87, 3 Te 3.13-3.21
Y3 0.0000 0.3170 0.6243  3 Rh 2.86-3.16, 1 Te 3.19
Y4 0.0000 0.3535 0.2645  2 Rh 2.91, 2 Te 3.20
Te1 0.0000 0.0000 0.6638  7 Y 3.13-3.21
Te2 0.0000 0.5000 0.7630  8 Y 3.19-3.21
Rh1 0.0000 0.2389 0.9286  7 Y 2.86-3.16

A relaxed Y2TeRh crystal. Source: Alexandria, functional PBE-GGA.

## Properties
Energy relative to the elements, uncorrected   -1.02 eV per atom

a = 4.1167 Å, b = 4.1167 Å, c = 21.8140 Å
α = 90.00°, β = 90.00°, γ = 120.00°
With the nearest neighbours (Å) after each atom.
Space group R-3m (No. 166, hexagonal axes)
Asymmetric unit:
Y1 0.0000 0.0000 0.2368  3 Rh 2.83
Te1 0.0000 0.0000 0.0000  6 Y 3.18
Rh1 0.0000 0.0000 0.5000  6 Y 2.83

A relaxed Y2TeRh crystal. Source: Alexandria, functional PBE-GGA.

## Properties
Energy relative to the elements, uncorrected   -0.74 eV per atom

a = 4.5199 Å, b = 5.6763 Å, c = 7.6096 Å
α = 90.00°, β = 90.00°, γ = 90.00°
With the nearest neighbours (Å) after each atom.
Space group Immm (No. 71)
Asymmetric unit:
Y1 0.0000 0.0000 0.2324  2 Rh 2.87, 2 Te 3.04
Te1 0.0000 0.5000 0.0000  8 Y 3.04-3.34
Rh1 0.0000 0.5000 0.5000  4 Y 2.87

A relaxed Y2TeRh crystal. Source: Alexandria, functional PBE-GGA.

## Properties
Energy relative to the elements, uncorrected   -0.86 eV per atom

a = 4.1442 Å, b = 4.1442 Å, c = 6.3681 Å
α = 90.00°, β = 90.00°, γ = 90.00°
With the nearest neighbours (Å) after each atom.
Space group P4mm (No. 99)
Asymmetric unit:
Y1 0.0000 0.0000 0.0000  1 Rh 2.58
Y2 0.5000 0.5000 0.3784  4 Rh 2.94, 2 Te 3.09-3.28
Te1 0.5000 0.5000 0.8640  6 Y 3.06-3.28
Rh1 0.0000 0.0000 0.4053  1 Y 2.58

A relaxed Y4TeRh crystal. Source: Alexandria, functional PBE-GGA.

## Properties
Energy relative to the elements, uncorrected   0.33 eV per atom
Energy above the most stable polymorph in this dataset   25.925 kcal/mol of atoms

a = 8.6893 Å, b = 8.6893 Å, c = 8.6893 Å
α = 90.00°, β = 90.00°, γ = 90.00°
With the nearest neighbours (Å) after each atom.
Space group F-43m (No. 216)
Asymmetric unit:
Y1 0.1244 0.1244 0.1244  6 Y 3.06-3.09
Te1 0.0000 0.0000 0.5000  12 Y 3.60, 4 Rh 3.76
Rh1 0.2500 0.2500 0.7500  12 Y 3.60, 4 Te 3.76